The following is a DFT calculation (GGA-PBE) of a relaxed HfZrFe crystal.

Cell: 3.210 3.210 10.497 Å, 90.00 90.00 90.00°
Space group I4mm (No. 107)
Unique sites:
Hf: 0.000 0.000 0.000 x2
Zr: 0.000 0.000 0.704 x2
Fe: 0.000 0.000 0.358 x2

Values from the calculation:
The density of states at the Fermi level comes out at 7.5 states/eV/cell. The value obtained for the distance to the lowest polymorph of the same formula is 0.050 eV per atom. As for the formation energy: -105 meV per atom.


The following is a DFT calculation (GGA-PBE) of a relaxed K3ZnOs crystal.

Cell: 6.237 6.237 6.237 Å, 90.00 90.00 90.00°
Space group Pm-3m (No. 221)
Unique sites:
K: 0.000 0.000 0.500 x3
Zn: 0.500 0.500 0.500 x1
Os: 0.000 0.000 0.000 x1

Values from the calculation:
The density of states at the Fermi level comes out at 7.0 states/eV/cell. The value obtained for the distance to the lowest polymorph of the same formula is 0.000 eV per atom. As for the formation energy: 1229 meV per atom.


The following is a DFT calculation (GGA-PBE) of a relaxed HfZrBr2Cl crystal.

Cell: 5.122 5.122 5.685 Å, 90.00 90.00 90.00°
Space group P4/mmm (No. 123)
Unique sites:
Hf: 0.000 0.000 0.000 x1
Zr: 0.000 0.000 0.500 x1
Br: 0.000 0.500 0.000 x2
Cl: 0.500 0.500 0.500 x1

Values from the calculation:
Its total energy is -4.85 eV/atom. The density of states at the Fermi level comes out at 2.8 states/eV/cell.


The following is a DFT calculation (GGA-PBE) of a relaxed Na2Sb2As crystal.

Cell: 7.572 7.572 4.893 Å, 90.00 90.00 90.00°
Space group P4/mbm (No. 127)
Unique sites:
Na: 0.172 0.328 0.000 x4
Sb: 0.134 0.634 0.500 x4
As: 0.000 0.000 0.500 x2

Values from the calculation:
The density of states at the Fermi level comes out at 3.2 states/eV/cell. The value obtained for the distance to the lowest polymorph of the same formula is 0.040 eV per atom.


The following is a DFT calculation (GGA-PBE) of a relaxed KSr crystal.

Cell: 7.088 12.251 8.590 Å, 90.00 90.00 90.00°
Space group Imm2 (No. 44)
Unique sites:
K: 0.000 0.000 0.000 x2
K: 0.000 0.340 0.750 x4
Sr: 0.000 0.000 0.512 x2
Sr: 0.000 0.332 0.245 x4

Values from the calculation:
The density of states at the Fermi level comes out at 10.8 states/eV/cell. As for the formation energy: 144 meV per atom.


The following is a DFT calculation (GGA-PBE) of a relaxed Sm6DyTm12 crystal.

Cell: 10.9771 10.9771 17.2994 Å, 90.00 90.00 120.00°
Space group R-3m (No. 166, hexagonal axes)
Unique sites:
Sm: 0.0696 0.5348 0.2670 x18
Dy: 0.0000 0.0000 0.5000 x3
Tm: 0.1014 0.5507 0.9139 x18
Tm: 0.1061 0.2122 0.9077 x18

Values from the calculation:
The density of states at the Fermi level comes out at 85.6 states/eV/cell. The value obtained for the distance to the lowest polymorph of the same formula is 0.000 eV per atom. As for the formation energy: 124 meV per atom.